! meta-GGA SCAN LiBeBr, PBEsol geometry; values from VASP
&SYSTEM
  ibrav = 0, nat = 3, ntyp = 3
/
ATOMIC_SPECIES
Li 6.94 Li.upf
Be 9.01 Be.upf
Br 79.90 Br.upf
ATOMIC_POSITIONS angstrom
Li 0.0000 0.0000 0.0000
Be 0.0000 1.9438 3.6180
Br 1.6834 0.9719 2.1370
CELL_PARAMETERS angstrom
3.3667 0.0000 0.0000
-1.6834 2.9157 0.0000
0.0000 0.0000 5.5139
! * ΔE to the lowest computed polymorph: 0.0 meV per atom
! * formation energy from raw total energies: -8.4 kJ/mol of atoms
! * SG: P3m1
! * theoretical density: 2.94 g/cm3
! * size of the total moment: 0.00 μB/f.u.